Compound: ZrSb2TeC
Source: Alexandria via LeMat-Bulk
Functional: GGA-PBE
Structure: relaxed

Summary:
N(E_F): 6.4 states/eV per cell
Distance to the lowest polymorph of the same formula: 0.775 eV/atom
Energy relative to the elements, uncorrected: 1.49 eV/atom
Total energy: -21.7 eV/cell
Spin magnetization: 1.734 μB/cell

a = 5.5620 Å, b = 5.5620 Å, c = 5.5082 Å
α = 90.00°, β = 90.00°, γ = 90.00°
Last column: nearest neighbours and their distance in Å.
Sites, in units of the cell vectors:
Zr1 0.0000 0.0000 0.0000  2 Te 2.75, 4 Sb 2.78
C1 0.5000 0.5000 0.5000  8 Sb 3.91, 4 Te 3.93
Sb1 0.5000 0.0000 0.0000  2 Zr 2.78
Sb2 0.0000 0.5000 0.0000  2 Zr 2.78
Te1 0.0000 0.0000 0.5000  2 Zr 2.75